First-principles (PBEsol) data for a relaxed Ir3Se4 crystal, as listed in Alexandria via LeMat-Bulk.

## Properties
size of the total moment: 0.00 μB per cell
formation energy without anion corrections: 0.31 eV per atom

Structure (CIF):
```
data_Ir3Se4
_chemical_formula_sum 'Ir6 Se8'
_cell_length_a 3.430
_cell_length_b 3.430
_cell_length_c 20.629
_cell_angle_alpha 90.00
_cell_angle_beta 90.00
_cell_angle_gamma 90.00
_symmetry_space_group_name_H-M 'I 4/m m m'
_symmetry_Int_Tables_number 139
_symmetry_space_group_name_Hall '-I 4 2'
loop_
_atom_site_label
_atom_site_fract_x
_atom_site_fract_y
_atom_site_fract_z
Ir1 0.000 0.000 0.000
Ir2 0.000 0.000 0.289
Se1 0.000 0.000 0.172
Se2 0.000 0.000 0.435
```